## w
CePmPr2: relaxed, PBE.

a = 5.152 Å, b = 5.156 Å, c = 5.156 Å
α = 90.00°, β = 90.00°, γ = 90.00°
Last column: magnetic moment on the atom in μB.
Sites, in units of the cell vectors:
Pr (0.000, 0.000, 0.500)  0.00
Pr (0.000, 0.500, 0.000)  0.00
Ce (0.500, 0.000, 0.000)  0.69
Pm (0.500, 0.500, 0.500)  0.00

## Properties
Symmetry ... P4/mmm (123)


## x
CePmPr2: relaxed, PBE.

a = 3.523 Å, b = 3.523 Å, c = 12.878 Å
α = 82.14°, β = 82.14°, γ = 60.00°
Last column: magnetic moment on the atom in μB.
Sites, in units of the cell vectors:
Pr (0.087, 0.087, 0.738)  -0.02
Pr (0.913, 0.913, 0.262)  -0.02
Pm (0.500, 0.500, 0.500)  0.01
Ce (0.000, 0.000, 0.000)  0.81

## Properties
Symmetry ... R-3m (166)


## y
CePmPr2: relaxed, PBE.

a = 3.607 Å, b = 3.607 Å, c = 10.410 Å
α = 90.00°, β = 90.00°, γ = 90.00°
Last column: magnetic moment on the atom in μB.
Sites, in units of the cell vectors:
Pm (0.500, 0.500, 0.500)  0.02
Pr (0.000, 0.000, 0.239)  0.00
Pr (0.000, 0.000, 0.761)  0.00
Ce (0.500, 0.500, 0.000)  0.51

## Properties
Symmetry ... P4/mmm (123)


Pick the most stable structure from those above. Pick: y